Below is an optimized crystal structure of Sr2GeSe, with properties calculated at the PBE level.

Calculated values
E above lowest polymorph   21 meV/atom
E_form (uncorrected)   -0.809 eV/atom
Total magnetization   0.0 μB per formula unit

Cell: 8.263 8.263 7.930 Å, 90.00 90.00 90.00°
Space group I-42d (No. 122)
Inequivalent atoms, fractional coordinates:
Sr1 0.234 0.250 0.125 x8
Ge1 0.000 0.000 0.500 x4
Se1 0.000 0.000 0.000 x4